Record 1
Here is a geometry-optimized ScTaV2N structure from Alexandria. Energies are from PBE.

abc: 4.531 4.531 5.334
angles: 90.00 90.00 90.00
Element x y z (fractional)
Sc 0.000 0.000 0.000
Ta 0.000 0.000 0.500
V 0.000 0.500 0.500
V 0.500 0.000 0.500
N 0.500 0.500 0.000

Values from the calculation:
theoretical density: 5.2 g cm⁻³
symmetry: No. 123



Record 2
Here is a geometry-optimized Sc2TaZnN structure from Alexandria. Energies are from PBE.

abc: 4.386 4.386 4.221
angles: 90.00 90.00 90.00
Element x y z (fractional)
Sc 0.000 0.500 0.000
Sc 0.500 0.000 0.000
Ta 0.000 0.000 0.500
Zn 0.500 0.500 0.500
N 0.000 0.000 0.000

Values from the calculation:
theoretical density: 7.2 g cm⁻³
symmetry: No. 123



Record 3
Here is a geometry-optimized Zr3Sc4TaN8 structure from Alexandria. Energies are from PBE.

abc: 6.426 6.426 6.426
angles: 59.74 59.74 59.74
Element x y z (fractional)
Zr 0.000 0.500 0.500
Zr 0.500 0.000 0.500
Zr 0.500 0.500 0.000
Sc 0.000 0.000 0.500
Sc 0.000 0.500 0.000
Sc 0.500 0.000 0.000
Sc 0.500 0.500 0.500
Ta 0.000 0.000 0.000
N 0.243 0.754 0.754
N 0.246 0.246 0.757
N 0.246 0.757 0.246
N 0.249 0.249 0.249
N 0.751 0.751 0.751
N 0.754 0.243 0.754
N 0.754 0.754 0.243
N 0.757 0.246 0.246

Values from the calculation:
theoretical density: 6.6 g cm⁻³
symmetry: No. 166



Record 4
Here is a geometry-optimized Zr3Sc3TaN8 structure from Alexandria. Energies are from PBE.

abc: 6.410 6.410 6.410
angles: 60.05 60.05 60.05
Element x y z (fractional)
Zr 0.000 0.500 0.500
Zr 0.500 0.000 0.500
Zr 0.500 0.500 0.000
Sc 0.000 0.000 0.500
Sc 0.000 0.500 0.000
Sc 0.500 0.000 0.000
Ta 0.000 0.000 0.000
N 0.234 0.234 0.765
N 0.234 0.765 0.234
N 0.235 0.766 0.766
N 0.249 0.249 0.249
N 0.751 0.751 0.751
N 0.765 0.234 0.234
N 0.766 0.235 0.766
N 0.766 0.766 0.235

Values from the calculation:
theoretical density: 6.2 g cm⁻³
symmetry: No. 166



Record 5
Here is a geometry-optimized Zr4Sc3TaN8 structure from Alexandria. Energies are from PBE.

abc: 6.432 6.432 6.432
angles: 59.94 59.94 59.94
Element x y z (fractional)
Zr 0.000 0.000 0.000
Zr 0.000 0.500 0.500
Zr 0.500 0.000 0.500
Zr 0.500 0.500 0.000
Sc 0.000 0.000 0.500
Sc 0.000 0.500 0.000
Sc 0.500 0.000 0.000
Ta 0.500 0.500 0.500
N 0.249 0.249 0.249
N 0.252 0.744 0.744
N 0.256 0.256 0.748
N 0.256 0.748 0.256
N 0.744 0.252 0.744
N 0.744 0.744 0.252
N 0.748 0.256 0.256
N 0.751 0.751 0.751

Values from the calculation:
theoretical density: 7.0 g cm⁻³
symmetry: No. 166



Record 6
Here is a geometry-optimized ZrSc2TaN structure from Alexandria. Energies are from PBE.

abc: 4.511 4.511 4.344
angles: 90.00 90.00 90.00
Element x y z (fractional)
Zr 0.000 0.000 0.000
Sc 0.000 0.500 0.500
Sc 0.500 0.000 0.500
Ta 0.500 0.500 0.000
N 0.500 0.500 0.500

Values from the calculation:
theoretical density: 7.1 g cm⁻³
symmetry: No. 123



| no. | magnetization (μB per cell) | uncorrected energy (eV/cell) |
| --- | --- | --- |
| 1 | 2.323 | -33.96 |
| 2 | 0.000 | -37.89 |
| 3 | 0.000 | -157.54 |
| 4 | 0.000 | -147.68 |
| 5 | 0.000 | -159.06 |
| 6 | 0.000 | -44.18 |